Entry 1:
! LiPmP2 (PBE, relaxed); values from VASP
&SYSTEM
  ibrav = 0, nat = 4, ntyp = 3
/
ATOMIC_SPECIES
Li 6.94 Li.upf
Pm 145.00 Pm.upf
P 30.97 P.upf
ATOMIC_POSITIONS crystal
Li 0.000 0.000 0.000
Pm 0.500 0.500 0.000
P 0.000 0.500 0.500
P 0.500 0.000 0.500
CELL_PARAMETERS angstrom
4.427 0.000 0.000
0.000 4.427 0.000
0.000 0.000 3.885
! SG   P4/mmm (123)
! Crystal system   tetragonal
! Energy of formation   -689 meV per atom

Entry 2:
! Al2Ga2Si (PBE, relaxed); values from VASP
&SYSTEM
  ibrav = 0, nat = 10, ntyp = 3
/
ATOMIC_SPECIES
Al 26.98 Al.upf
Ga 69.72 Ga.upf
Si 28.09 Si.upf
ATOMIC_POSITIONS crystal
Al 0.000 0.500 0.250
Al 0.000 0.500 0.750
Al 0.500 0.000 0.250
Al 0.500 0.000 0.750
Ga 0.000 0.000 0.101
Ga 0.000 0.000 0.899
Ga 0.500 0.500 0.399
Ga 0.500 0.500 0.601
Si 0.000 0.000 0.500
Si 0.500 0.500 0.000
CELL_PARAMETERS angstrom
3.923 0.000 0.000
0.000 3.923 0.000
0.000 0.000 12.135
! SG   I4/mmm (139)
! Crystal system   tetragonal

Entry 3:
! NaNi3As3 (PBE, relaxed); values from VASP
&SYSTEM
  ibrav = 0, nat = 14, ntyp = 3
/
ATOMIC_SPECIES
Na 22.99 Na.upf
Ni 58.69 Ni.upf
As 74.92 As.upf
ATOMIC_POSITIONS crystal
Na 0.000 0.000 0.000
Na 0.500 0.500 0.500
Ni 0.000 0.250 0.500
Ni 0.000 0.750 0.500
Ni 0.250 0.500 0.000
Ni 0.500 0.000 0.250
Ni 0.500 0.000 0.750
Ni 0.750 0.500 0.000
As 0.000 0.500 0.250
As 0.000 0.500 0.750
As 0.250 0.000 0.500
As 0.500 0.250 0.000
As 0.500 0.750 0.000
As 0.750 0.000 0.500
CELL_PARAMETERS angstrom
6.508 0.000 0.000
0.000 6.508 0.000
0.000 0.000 6.508
! SG   Pm-3n (223)
! Crystal system   cubic
! Energy of formation   -131 meV per atom

Polymorph energy (0 for the lowest one), record by record: 0.123; 0.090; 0.127 eV/atom
DOS(E_F), record by record: 0.493; 0.417; 0.853 states/eV per atom